The following is a DFT calculation (PBE-GGA) of a geometry-optimized CuTcNi2As structure.

Cell: 4.523 4.523 4.629 Å, 90.00 90.00 90.00°
Element x y z (fractional)
Cu1 0.000 0.000 0.000
Tc1 0.500 0.500 0.500
Ni1 0.000 0.500 0.500
Ni2 0.500 0.000 0.500
As1 0.500 0.500 0.000

Summary:
crystal system: tetragonal
V: 95 Å³ per cell
DFT formation energy: 1107 meV per atom
DFT total energy: -25.139 eV per formula unit



The following is a DFT calculation (PBE-GGA) of a geometry-optimized CuNiTeAs2 structure.

Cell: 5.394 5.394 4.546 Å, 90.00 90.00 90.00°
Element x y z (fractional)
Cu1 0.000 0.000 0.000
Ni1 0.500 0.500 0.000
Te1 0.500 0.500 0.500
As1 0.000 0.500 0.500
As2 0.500 0.000 0.500

Summary:
crystal system: tetragonal
V: 132 Å³ per cell
DFT total energy: -16.231 eV per formula unit



The following is a DFT calculation (PBE-GGA) of a geometry-optimized Th2CuNi4As3 structure.

Cell: 4.129 4.129 9.668 Å, 90.00 90.00 90.00°
Element x y z (fractional)
Th1 0.000 0.500 0.248
Th2 0.500 0.000 0.752
Cu1 0.000 0.000 0.500
Ni1 0.000 0.000 0.000
Ni2 0.000 0.500 0.627
Ni3 0.500 0.000 0.373
Ni4 0.500 0.500 0.000
As1 0.000 0.500 0.870
As2 0.500 0.000 0.130
As3 0.500 0.500 0.500

Summary:
crystal system: tetragonal
V: 165 Å³ per cell
DFT formation energy: -763 meV per atom
DFT total energy: -63.643 eV per formula unit



The following is a DFT calculation (PBE-GGA) of a geometry-optimized Th2CuNi3As4 structure.

Cell: 4.281 4.281 9.381 Å, 90.00 90.00 90.00°
Element x y z (fractional)
Th1 0.000 0.500 0.249
Th2 0.500 0.000 0.751
Cu1 0.500 0.500 0.000
Ni1 0.000 0.000 0.000
Ni2 0.000 0.500 0.616
Ni3 0.500 0.000 0.384
As1 0.000 0.000 0.500
As2 0.000 0.500 0.866
As3 0.500 0.000 0.134
As4 0.500 0.500 0.500

Summary:
crystal system: tetragonal
V: 172 Å³ per cell
DFT formation energy: -769 meV per atom
DFT total energy: -62.570 eV per formula unit



Calculated density for every record listed, in sequence, given in g/cm³: 6.20, 5.02, 9.95, 9.69.